Record 1
Ca2Mg2Sb2P | the Alexandria database | PBE | relaxed; uncorrected formation energy = -0.69 eV per atom
1.0
-0.030 -3.840 2.910
-1.167 -2.818 -3.730
8.583 2.085 -1.150
Ca Mg Sb P
2 2 2 1
Direct
0.171 0.171 0.342 Ca
0.829 0.829 0.658 Ca
0.000 0.500 0.000 Mg
0.500 0.000 0.000 Mg
0.365 0.365 0.729 Sb
0.635 0.635 0.271 Sb
0.000 0.000 0.000 P

---

Record 2
PuAl6Au12 | the Alexandria database | PBE | relaxed; excess energy over the best structure of this formula in the dataset = 9 meV per atom; ΔE_f = -0.30 eV/atom
1.0
-3.028 -0.272 6.856
-5.371 -2.301 -4.702
5.260 -5.345 -0.128
Pu Al Au
1 6 12
Direct
0.000 0.000 0.000 Pu
0.693 0.280 0.280 Al
0.280 0.280 0.693 Al
0.280 0.693 0.280 Al
0.720 0.720 0.307 Al
0.307 0.720 0.720 Al
0.720 0.307 0.720 Al
0.881 0.119 0.500 Au
0.867 0.618 0.618 Au
0.618 0.618 0.867 Au
0.382 0.133 0.382 Au
0.382 0.382 0.133 Au
0.133 0.382 0.382 Au
0.119 0.500 0.881 Au
0.500 0.881 0.119 Au
0.119 0.881 0.500 Au
0.881 0.500 0.119 Au
0.500 0.119 0.881 Au
0.618 0.867 0.618 Au

---

Record 3
Pr3Nd3TmSe8 | the Alexandria database | PBE | relaxed; uncorrected formation energy = -1.87 eV per atom
1.0
-2.899 7.897 -0.722
-5.308 -6.289 1.885
5.665 2.602 5.719
Pr Nd Tm Se
3 3 1 8
Direct
0.000 0.000 0.000 Pr
0.000 0.500 0.000 Pr
0.500 0.500 0.000 Pr
0.500 0.000 0.500 Nd
0.500 0.500 0.500 Nd
0.000 0.500 0.500 Nd
0.000 0.000 0.500 Tm
0.251 0.502 0.253 Se
0.749 0.498 0.747 Se
0.758 0.516 0.260 Se
0.242 0.484 0.740 Se
0.758 0.002 0.260 Se
0.242 0.998 0.740 Se
0.244 0.002 0.260 Se
0.756 0.998 0.740 Se

---

Record 4
NaLiAu | the Alexandria database | PBE | relaxed; excess energy over the best structure of this formula in the dataset = 160 meV per atom; ΔE_f = -0.20 eV/atom
1.0
4.699 0.000 0.000
2.349 4.069 0.000
2.349 1.356 3.836
Na Au Li
1 1 1
Direct
0.500 0.500 0.500 Na
0.250 0.250 0.250 Au
0.000 0.000 0.000 Li

---

Record 5
La3PmCdCo | the Alexandria database | PBE | relaxed; ΔE_f = -0.14 eV/atom
1.0
8.789 1.063 -2.969
5.058 7.266 -2.969
-0.027 -0.016 6.116
La Pm Cd Co
6 2 2 2
Direct
0.192 0.192 0.707 La
0.139 0.626 0.882 La
0.626 0.139 0.882 La
0.374 0.861 0.118 La
0.861 0.374 0.118 La
0.808 0.808 0.293 La
0.259 0.741 0.500 Pm
0.741 0.259 0.500 Pm
0.690 0.690 0.689 Cd
0.310 0.310 0.311 Cd
0.031 0.031 0.844 Co
0.969 0.969 0.156 Co

---

Record 6
Dy7Al2In2 | the Alexandria database | PBE | relaxed; ΔE_f = -0.06 eV/atom
1.0
-3.718 -1.906 5.327
5.168 -5.486 1.645
4.487 4.754 1.760
Dy Al In
7 2 2
Direct
0.000 0.282 0.500 Dy
0.500 0.718 0.000 Dy
0.000 0.718 0.500 Dy
0.500 0.282 0.000 Dy
0.000 0.000 0.000 Dy
0.500 0.757 0.500 Dy
0.500 0.243 0.500 Dy
0.715 0.000 0.285 Al
0.285 0.000 0.715 Al
0.817 0.500 0.817 In
0.183 0.500 0.183 In

---

Record 7
LaNd2Zn2Hg2 | the Alexandria database | PBE | relaxed; ΔE_f = -0.32 eV/atom
1.0
-2.143 3.050 -3.037
-4.178 -1.195 -2.058
-6.698 4.457 5.395
La Nd Zn Hg
1 2 2 2
Direct
0.000 0.000 0.000 La
0.126 0.126 0.621 Nd
0.874 0.874 0.379 Nd
0.744 0.744 0.768 Zn
0.256 0.256 0.232 Zn
0.598 0.598 0.205 Hg
0.402 0.402 0.795 Hg

---

Record 8
Tc2OsPd2 | the Alexandria database | PBE | relaxed; excess energy over the best structure of this formula in the dataset = 0 meV per atom; ΔE_f = 0.57 eV/atom
1.0
-4.384 3.146 3.287
-3.522 -5.236 0.316
1.858 -1.041 3.475
Os Tc Pd
2 4 4
Direct
0.000 0.000 0.000 Os
0.500 0.500 0.000 Os
0.370 0.870 0.000 Tc
0.870 0.630 0.000 Tc
0.630 0.130 0.000 Tc
0.130 0.370 0.000 Tc
0.167 0.667 0.500 Pd
0.667 0.833 0.500 Pd
0.833 0.333 0.500 Pd
0.333 0.167 0.500 Pd

---

Record 9
NdZn2Au6 | the Alexandria database | PBE | relaxed; ΔE_f = -0.12 eV/atom
1.0
8.376 0.000 0.000
4.188 7.253 0.000
4.188 2.418 6.839
Nd Zn Au
2 4 12
Direct
0.500 0.500 0.500 Nd
0.750 0.750 0.750 Nd
0.125 0.125 0.125 Zn
0.125 0.625 0.125 Zn
0.125 0.125 0.625 Zn
0.625 0.125 0.125 Zn
0.249 0.249 0.751 Au
0.751 0.751 0.249 Au
0.249 0.751 0.249 Au
0.249 0.751 0.751 Au
0.499 0.499 0.001 Au
0.499 0.001 0.001 Au
0.751 0.249 0.751 Au
0.001 0.001 0.499 Au
0.499 0.001 0.499 Au
0.001 0.499 0.499 Au
0.751 0.249 0.249 Au
0.001 0.499 0.001 Au

---

Record 10
KHg3 | the Alexandria database | PBE | relaxed; ΔE_f = -0.22 eV/atom
1.0
-1.683 -1.012 4.948
5.778 -2.497 -1.409
3.507 6.670 2.558
K Hg
2 6
Direct
0.582 0.163 0.250 K
0.418 0.837 0.750 K
0.719 0.438 0.750 Hg
0.281 0.562 0.250 Hg
0.124 0.248 0.559 Hg
0.876 0.752 0.441 Hg
0.124 0.248 0.941 Hg
0.876 0.752 0.059 Hg

---

Record 11
TiAu2IBr | the Alexandria database | PBE | relaxed; uncorrected formation energy = 0.85 eV per atom
1.0
-1.340 4.627 -1.246
-3.328 -2.630 -6.190
-4.254 -0.553 2.522
I Au Br Ti
1 2 1 1
Direct
0.000 0.500 0.000 I
0.000 0.000 0.500 Au
0.500 0.000 0.000 Au
0.000 0.000 0.000 Br
0.500 0.500 0.500 Ti

---

Record 12
Ba3Al3P5 | the Alexandria database | PBE | relaxed; ΔE_f = -0.93 eV/atom
1.0
12.945 0.000 0.000
4.560 12.115 0.000
4.560 3.156 11.697
Ba Al P
18 18 30
Direct
0.146 0.222 0.653 Ba
0.653 0.146 0.222 Ba
0.222 0.653 0.146 Ba
0.153 0.722 0.646 Ba
0.646 0.153 0.722 Ba
0.722 0.646 0.153 Ba
0.854 0.778 0.347 Ba
0.347 0.854 0.778 Ba
0.778 0.347 0.854 Ba
0.847 0.278 0.354 Ba
0.354 0.847 0.278 Ba
0.278 0.354 0.847 Ba
0.398 0.398 0.398 Ba
0.898 0.898 0.898 Ba
0.602 0.602 0.602 Ba
0.102 0.102 0.102 Ba
0.250 0.250 0.250 Ba
0.750 0.750 0.750 Ba
0.078 0.572 0.494 Al
0.494 0.078 0.572 Al
0.572 0.494 0.078 Al
0.994 0.072 0.578 Al
0.578 0.994 0.072 Al
0.072 0.578 0.994 Al
0.922 0.428 0.506 Al
0.506 0.922 0.428 Al
0.428 0.506 0.922 Al
0.006 0.928 0.422 Al
0.422 0.006 0.928 Al
0.928 0.422 0.006 Al
0.979 0.521 0.250 Al
0.250 0.979 0.521 Al
0.521 0.250 0.979 Al
0.750 0.021 0.479 Al
0.479 0.750 0.021 Al
0.021 0.479 0.750 Al
0.109 0.452 0.374 P
0.374 0.109 0.452 P
0.452 0.374 0.109 P
0.874 0.952 0.609 P
0.609 0.874 0.952 P
0.952 0.609 0.874 P
0.891 0.548 0.626 P
0.626 0.891 0.548 P
0.548 0.626 0.891 P
0.126 0.048 0.391 P
0.391 0.126 0.048 P
0.048 0.391 0.126 P
0.203 0.470 0.614 P
0.614 0.203 0.470 P
0.470 0.614 0.203 P
0.114 0.970 0.703 P
0.703 0.114 0.970 P
0.970 0.703 0.114 P
0.797 0.530 0.386 P
0.386 0.797 0.530 P
0.530 0.386 0.797 P
0.886 0.030 0.297 P
0.297 0.886 0.030 P
0.030 0.297 0.886 P
0.614 0.886 0.250 P
0.250 0.614 0.886 P
0.886 0.250 0.614 P
0.750 0.386 0.114 P
0.114 0.750 0.386 P
0.386 0.114 0.750 P

---

Record 13
Ba2CrMo | the Alexandria database | PBE | relaxed; excess energy over the best structure of this formula in the dataset = 65 meV per atom; ΔE_f = 0.79 eV/atom
1.0
-3.865 5.027 7.793
-5.599 0.211 8.339
6.795 -3.236 -6.656
Ba Cr Mo
2 1 1
Direct
0.899 0.899 0.000 Ba
0.601 0.601 0.000 Ba
0.750 0.250 0.500 Cr
0.250 0.750 0.500 Mo

---

Record 14
Pm2NdEu | the Alexandria database | PBE | relaxed; excess energy over the best structure of this formula in the dataset = 79 meV per atom; ΔE_f = 0.14 eV/atom
1.0
-4.459 1.635 -3.471
0.455 -0.569 -5.837
-3.181 -4.070 -2.815
Eu Nd Pm
1 1 2
Direct
0.000 0.000 0.000 Eu
0.500 0.500 0.500 Nd
0.250 0.250 0.250 Pm
0.750 0.750 0.750 Pm

---

Record 15
TmPu3N4 | the Alexandria database | PBE | relaxed; uncorrected formation energy = -1.33 eV per atom
1.0
-4.547 3.132 2.332
1.609 -4.322 3.808
4.502 4.310 2.989
N Tm Pu
8 2 6
Direct
0.000 0.245 0.627 N
0.496 0.250 0.877 N
0.500 0.245 0.373 N
0.996 0.250 0.123 N
0.004 0.750 0.877 N
0.500 0.755 0.627 N
0.504 0.750 0.123 N
0.000 0.755 0.373 N
0.750 0.000 0.876 Tm
0.250 0.000 0.124 Tm
0.750 0.000 0.373 Pu
0.250 0.000 0.627 Pu
0.750 0.500 0.625 Pu
0.750 0.500 0.124 Pu
0.250 0.500 0.375 Pu
0.250 0.500 0.876 Pu

---

Record 16
Tb6Sc5 | the Alexandria database | PBE | relaxed; excess energy over the best structure of this formula in the dataset = 7 meV per atom; ΔE_f = 0.14 eV/atom
1.0
-4.282 -0.352 8.696
3.444 -1.397 7.048
-0.215 5.030 2.718
Tb Sc
6 5
Direct
0.813 0.000 0.624 Tb
0.187 0.000 0.376 Tb
0.334 0.710 0.865 Tb
0.956 0.710 0.135 Tb
0.666 0.290 0.135 Tb
0.044 0.290 0.865 Tb
0.500 0.000 0.500 Sc
0.374 0.253 0.000 Sc
0.626 0.747 0.000 Sc
0.235 0.531 0.500 Sc
0.765 0.469 0.500 Sc

---

Record 17
TcMo4 | the Alexandria database | PBE | relaxed; excess energy over the best structure of this formula in the dataset = 1060 meV per atom; ΔE_f = 1.09 eV/atom
1.0
-2.024 2.024 5.476
2.024 -2.024 5.476
2.024 2.024 -5.476
Tc Mo
1 4
Direct
0.000 0.000 0.000 Tc
0.250 0.750 0.500 Mo
0.611 0.611 0.000 Mo
0.389 0.389 0.000 Mo
0.750 0.250 0.500 Mo

---

Record 18
In2PbBr | the Alexandria database | PBE | relaxed; uncorrected formation energy = -0.15 eV per atom; excess energy over the best structure of this formula in the dataset = 73 meV per atom
1.0
3.600 0.000 0.000
0.000 3.600 0.000
0.000 0.000 9.155
Pb Br In
1 1 2
Direct
0.500 0.500 0.250 Pb
0.500 0.500 0.750 Br
0.000 0.000 0.990 In
0.000 0.000 0.510 In

---

Record 19
TaBi2PdCl | the Alexandria database | PBE | relaxed; uncorrected formation energy = 0.57 eV per atom
1.0
5.536 0.000 0.000
0.000 4.872 0.000
0.000 0.000 5.536
Cl Bi Pd Ta
1 2 1 1
Direct
0.500 0.500 0.500 Cl
0.000 0.000 0.500 Bi
0.500 0.000 0.000 Bi
0.000 0.500 0.000 Pd
0.000 0.000 0.000 Ta

---

Record 20
La3Pm2NdSm6 | the Alexandria database | PBE | relaxed; ΔE_f = 0.01 eV/atom
1.0
-3.018 -2.005 5.235
6.212 1.376 0.230
-3.677 11.502 0.989
La Pm Nd Sm
3 2 1 6
Direct
0.167 0.833 0.500 La
0.833 0.167 0.500 La
0.500 0.500 0.500 La
0.333 0.667 0.000 Pm
0.667 0.333 0.000 Pm
0.000 0.000 0.000 Nd
0.918 0.584 0.752 Sm
0.749 0.749 0.248 Sm
0.082 0.416 0.248 Sm
0.584 0.918 0.752 Sm
0.251 0.251 0.752 Sm
0.416 0.082 0.248 Sm